(1)
Here is a PBEsol-optimized structure of LaSc2Ir from Alexandria via LeMat-Bulk. Energies are from meta-GGA SCAN.

* E_tot: -35.790 eV per atom
* calculated formation energy: -0.12 eV/atom
* D(E_F): 8.1 states/eV/cell
* excess energy over the best structure of this formula in the dataset: 391 meV per atom

a = 5.8626 Å, b = 9.1930 Å, c = 3.1468 Å
α = 90.00°, β = 106.43°, γ = 90.00°
Last column: nearest neighbours and their distance in Å.
Space group C2/m (No. 12)
Unique sites:
La: 0.0000 0.0000 0.0000  2 Ir 2.93, 4 Sc 2.93, 2 La 3.15
Sc: 0.2500 0.2500 0.5000  4 Sc 2.93-3.15, 2 La 2.93, 2 Ir 2.93
Ir: 0.0000 0.5000 0.0000  2 La 2.93, 4 Sc 2.93, 2 Ir 3.15

(2)
Here is a PBEsol-optimized structure of MnSnPt3 from Alexandria via LeMat-Bulk. Energies are from meta-GGA SCAN.

* E_tot: -52.281 eV per atom
* calculated formation energy: 0.67 eV/atom
* D(E_F): 3.7 states/eV/cell

a = 4.5628 Å, b = 4.5628 Å, c = 4.5628 Å
α = 90.00°, β = 90.00°, γ = 90.00°
Last column: nearest neighbours and their distance in Å.
Space group Pm-3m (No. 221)
Unique sites:
Mn: 0.0000 0.0000 0.0000  6 Pt 2.28
Sn: 0.5000 0.5000 0.5000  12 Pt 3.23
Pt: 0.0000 0.0000 0.5000  2 Mn 2.28

(3)
Here is a PBEsol-optimized structure of TaAg2Br from Alexandria via LeMat-Bulk. Energies are from meta-GGA SCAN.

* E_tot: -36.715 eV per atom
* D(E_F): 3.9 states/eV/cell
* excess energy over the best structure of this formula in the dataset: 220 meV per atom

a = 9.0040 Å, b = 3.0049 Å, c = 5.4581 Å
α = 90.00°, β = 100.89°, γ = 90.00°
Last column: nearest neighbours and their distance in Å.
Space group Cm (No. 8)
Unique sites:
Ta: 0.0000 0.0000 0.0000  3 Br 2.67-2.70, 2 Ag 2.91
Ag: 0.2483 0.5000 0.2951  5 Ag 2.70-3.00, 3 Ta 2.91-3.02, 2 Br 3.01
Ag: 0.4973 0.0000 0.4973  5 Ag 2.70-3.00
Br: 0.2594 0.0000 0.8201  3 Ta 2.67-2.70

(4)
Here is a PBEsol-optimized structure of Hf2TcSnB from Alexandria via LeMat-Bulk. Energies are from meta-GGA SCAN.

* E_tot: -38.500 eV per atom
* calculated formation energy: 2.25 eV/atom
* D(E_F): 3.7 states/eV/cell

a = 5.1233 Å, b = 5.1233 Å, c = 4.7330 Å
α = 90.00°, β = 90.00°, γ = 90.00°
Last column: nearest neighbours and their distance in Å.
Space group P4/mmm (No. 123)
Unique sites:
Hf: 0.0000 0.5000 0.0000  2 Sn 2.56
Tc: 0.0000 0.0000 0.5000  2 Sn 2.37
Sn: 0.0000 0.0000 0.0000  2 Tc 2.37, 4 Hf 2.56
B: 0.5000 0.5000 0.5000  8 Hf 3.49, 4 Tc 3.62

(5)
Here is a PBEsol-optimized structure of Co2MoAs from Alexandria via LeMat-Bulk. Energies are from meta-GGA SCAN.

* E_tot: -22.293 eV per atom
* calculated formation energy: 0.13 eV/atom
* D(E_F): 2.4 states/eV/cell

a = 2.7574 Å, b = 2.7574 Å, c = 6.4977 Å
α = 90.00°, β = 90.00°, γ = 90.00°
Last column: nearest neighbours and their distance in Å.
Space group P4/mmm (No. 123)
Unique sites:
Co: 0.0000 0.0000 0.2231  4 As 2.43, 4 Mo 2.65
Mo: 0.5000 0.5000 0.5000  8 Co 2.65, 4 Mo 2.76
As: 0.5000 0.5000 0.0000  8 Co 2.43

(6)
Here is a PBEsol-optimized structure of BaIr2 from Alexandria via LeMat-Bulk. Energies are from meta-GGA SCAN.

* E_tot: -60.201 eV per atom
* calculated formation energy: 0.38 eV/atom
* D(E_F): 10.3 states/eV/cell

a = 13.5657 Å, b = 2.9392 Å, c = 6.5873 Å
α = 90.00°, β = 105.75°, γ = 90.00°
Last column: nearest neighbours and their distance in Å.
Space group C2/m (No. 12)
Unique sites:
Ba: 0.0273 0.0000 0.2732  3 Ba 2.94-3.27, 3 Ir 3.13-3.24
Ir: 0.1748 0.5000 0.0160  5 Ir 2.57-2.75
Ir: 0.2344 0.5000 0.6495  5 Ir 2.58-2.75

(7)
Here is a PBEsol-optimized structure of LaBe from Alexandria via LeMat-Bulk. Energies are from meta-GGA SCAN.

* E_tot: -23.326 eV per atom
* calculated formation energy: 0.40 eV/atom
* D(E_F): 5.1 states/eV/cell
* excess energy over the best structure of this formula in the dataset: 0 meV per atom

a = 5.1885 Å, b = 5.1885 Å, c = 7.4967 Å
α = 90.00°, β = 90.00°, γ = 120.00°
Last column: nearest neighbours and their distance in Å.
Space group P6_3/mmc (No. 194)
Unique sites:
La: 0.0000 0.0000 0.2500  3 La 3.00, 6 Be 3.16
La: 0.3333 0.6667 0.2500  2 Be 2.75, 3 La 3.00
Be: 0.3333 0.6667 0.6170  1 Be 1.99

(8)
Here is a PBEsol-optimized structure of Li2Mn3F8 from Alexandria via LeMat-Bulk. Energies are from meta-GGA SCAN.

* E_tot: -9.619 eV per atom
* D(E_F): 0.0 states/eV/cell
* excess energy over the best structure of this formula in the dataset: 87 meV per atom

a = 6.2399 Å, b = 6.2399 Å, c = 15.1398 Å
α = 90.00°, β = 90.00°, γ = 120.00°
Last column: nearest neighbours and their distance in Å.
Space group R-3m (No. 166, hexagonal axes)
Unique sites:
Li: 0.0000 0.0000 0.1155  3 F 1.93
Mn: 0.0000 0.5000 0.0000  6 F 2.09-2.11
F: 0.0000 0.0000 0.4036  3 Mn 2.09
F: 0.0049 0.5025 0.4077  1 Li 1.93, 2 Mn 2.11

(9)
Here is a PBEsol-optimized structure of SnHg2Bi from Alexandria via LeMat-Bulk. Energies are from meta-GGA SCAN.

* E_tot: -62.601 eV per atom
* calculated formation energy: 0.11 eV/atom
* D(E_F): 8.2 states/eV/cell

a = 4.3951 Å, b = 4.3951 Å, c = 22.3411 Å
α = 90.00°, β = 90.00°, γ = 90.00°
Last column: nearest neighbours and their distance in Å.
Space group I-42d (No. 122)
Unique sites:
Sn: 0.0000 0.0000 0.0000  4 Bi 3.11, 4 Hg 3.18
Hg: 0.2425 0.2500 0.1250  4 Hg 3.06-3.15, 2 Sn 3.18, 2 Bi 3.21
Bi: 0.0000 0.0000 0.5000  4 Sn 3.11, 4 Hg 3.21

(10)
Here is a PBEsol-optimized structure of BaTeAs from Alexandria via LeMat-Bulk. Energies are from meta-GGA SCAN.

* E_tot: -33.025 eV per atom
* D(E_F): 2.9 states/eV/cell

a = 4.1294 Å, b = 4.1294 Å, c = 11.1022 Å
α = 90.00°, β = 90.00°, γ = 90.00°
Last column: nearest neighbours and their distance in Å.
Space group I4mm (No. 107)
Unique sites:
Ba: 0.0000 0.0000 0.0000  1 As 3.14, 1 Te 3.25
Te: 0.0000 0.0000 0.7074  4 As 3.04, 1 Ba 3.25
As: 0.0000 0.0000 0.2831  4 Te 3.04, 1 Ba 3.14

(11)
Here is a PBEsol-optimized structure of CaNdAg2 from Alexandria via LeMat-Bulk. Energies are from meta-GGA SCAN.

* E_tot: -29.335 eV per atom
* calculated formation energy: -0.34 eV/atom
* D(E_F): 10.8 states/eV/cell

a = 7.2900 Å, b = 7.2900 Å, c = 7.2900 Å
α = 90.00°, β = 90.00°, γ = 90.00°
Last column: nearest neighbours and their distance in Å.
Space group Fm-3m (No. 225)
Unique sites:
Ca: 0.0000 0.0000 0.0000  8 Ag 3.16
Nd: 0.0000 0.0000 0.5000  8 Ag 3.16
Ag: 0.2500 0.2500 0.2500  4 Ca 3.16, 4 Nd 3.16

(12)
Here is a PBEsol-optimized structure of P4WO12 from Alexandria via LeMat-Bulk. Energies are from meta-GGA SCAN.

* E_tot: -13.135 eV per atom
* excess energy over the best structure of this formula in the dataset: 0 meV per atom

a = 14.9302 Å, b = 7.3954 Å, c = 9.4687 Å
α = 90.00°, β = 114.66°, γ = 90.00°
Last column: nearest neighbours and their distance in Å.
Space group C2/c (No. 15)
Unique sites:
P: 0.1287 0.1457 0.1520  4 O 1.50-1.58
P: 0.1642 0.4636 0.7021  4 O 1.46-1.63
W: 0.0000 0.1719 0.7500  6 O 1.97-2.02
O: 0.0592 0.1713 0.9848  1 P 1.50
O: 0.0926 0.3601 0.7477  1 P 1.52
O: 0.0937 0.0199 0.2445  1 P 1.51
O: 0.1499 0.3295 0.2439  2 P 1.57-1.62
O: 0.1652 0.4398 0.5493  1 P 1.46
O: 0.2295 0.0771 0.1546  2 P 1.58-1.63

(13)
Here is a PBEsol-optimized structure of LiSi from Alexandria via LeMat-Bulk. Energies are from meta-GGA SCAN.

* E_tot: -6.394 eV per atom
* D(E_F): 0.4 states/eV/cell

a = 9.2823 Å, b = 9.2823 Å, c = 5.6807 Å
α = 90.00°, β = 90.00°, γ = 90.00°
Last column: nearest neighbours and their distance in Å.
Space group I4_1/a (No. 88, origin choice 2)
Unique sites:
Li: 0.0807 0.1134 0.4431  5 Si 2.61-2.87, 1 Li 2.66
Si: 0.1102 0.0478 0.9045  3 Si 2.40-2.48, 2 Li 2.61

(14)
Here is a PBEsol-optimized structure of DyNi4Au from Alexandria via LeMat-Bulk. Energies are from meta-GGA SCAN.

* E_tot: -30.666 eV per atom
* calculated formation energy: -0.39 eV/atom
* D(E_F): 18.0 states/eV/cell

a = 6.8527 Å, b = 6.8527 Å, c = 6.8527 Å
α = 90.00°, β = 90.00°, γ = 90.00°
Last column: nearest neighbours and their distance in Å.
Space group F-43m (No. 216)
Unique sites:
Dy: 0.0000 0.0000 0.0000  12 Ni 2.84, 4 Au 2.97
Ni: 0.1243 0.1243 0.3757  6 Ni 2.41-2.44
Au: 0.2500 0.2500 0.7500  12 Ni 2.84, 4 Dy 2.97

(15)
Here is a PBEsol-optimized structure of TcBBr2 from Alexandria via LeMat-Bulk. Energies are from meta-GGA SCAN.

* E_tot: -18.750 eV per atom
* D(E_F): 13.1 states/eV/cell

a = 5.9697 Å, b = 5.9697 Å, c = 8.7476 Å
α = 90.00°, β = 90.00°, γ = 90.00°
Last column: nearest neighbours and their distance in Å.
Space group I-42d (No. 122)
Unique sites:
Tc: 0.0000 0.0000 0.0000  4 Br 2.41
B: 0.0000 0.0000 0.5000  4 Br 2.35
Br: 0.2420 0.7500 0.6250  2 B 2.35, 2 Tc 2.41

(16)
Here is a PBEsol-optimized structure of Li4TiCrO6 from Alexandria via LeMat-Bulk. Energies are from meta-GGA SCAN.

* E_tot: -9.376 eV per atom

a = 4.9771 Å, b = 8.5967 Å, c = 9.6016 Å
α = 90.00°, β = 99.57°, γ = 90.00°
Last column: nearest neighbours and their distance in Å.
Space group C2/c (No. 15)
Unique sites:
Li: 0.0000 0.2491 0.2500  6 O 2.06-2.08
Li: 0.2399 0.0902 0.4984  6 O 2.04-2.23
Li: 0.2500 0.2500 0.0000  6 O 2.02-2.16
Ti: 0.0000 0.4189 0.7500  6 O 1.95-1.97
Cr: 0.0000 0.0841 0.7500  6 O 1.91-1.92
O: 0.1074 0.2481 0.6344  1 Cr 1.92, 1 Ti 1.97, 4 Li 2.02-2.11
O: 0.1356 0.0705 0.1364  1 Cr 1.91, 1 Ti 1.96, 3 Li 2.04-2.10
O: 0.1459 0.4246 0.1361  1 Cr 1.91, 1 Ti 1.95, 3 Li 2.06-2.11

(17)
Here is a PBEsol-optimized structure of Rb3DyF6 from Alexandria via LeMat-Bulk. Energies are from meta-GGA SCAN.

* E_tot: -16.592 eV per atom
* D(E_F): 0.0 states/eV/cell

a = 9.4945 Å, b = 9.4945 Å, c = 9.4945 Å
α = 90.00°, β = 90.00°, γ = 90.00°
Last column: nearest neighbours and their distance in Å.
Space group Fm-3m (No. 225)
Unique sites:
Rb: 0.0000 0.0000 0.0000  6 F 2.60
Rb: 0.2500 0.2500 0.2500  12 F 3.36
Dy: 0.0000 0.0000 0.5000  6 F 2.15
F: 0.0000 0.0000 0.2736  1 Dy 2.15

(18)
Here is a PBEsol-optimized structure of Ge4Rh from Alexandria via LeMat-Bulk. Energies are from meta-GGA SCAN.

* E_tot: -22.262 eV per atom
* calculated formation energy: -0.24 eV/atom
* D(E_F): 4.7 states/eV/cell

a = 6.1646 Å, b = 6.1646 Å, c = 7.7907 Å
α = 90.00°, β = 90.00°, γ = 120.00°
Last column: nearest neighbours and their distance in Å.
Space group P3_121 (No. 152)
Unique sites:
Ge: 0.0000 0.0813 0.1667  2 Rh 2.59, 7 Ge 2.74-2.86
Ge: 0.0000 0.6171 0.1667  2 Rh 2.54, 2 Ge 2.57
Ge: 0.2238 0.4880 0.9453  2 Rh 2.51, 2 Ge 2.57-2.78
Rh: 0.0000 0.3152 0.6667  8 Ge 2.51-2.59

(19)
Here is a PBEsol-optimized structure of TcRu2Br from Alexandria via LeMat-Bulk. Energies are from meta-GGA SCAN.

* E_tot: -30.306 eV per atom
* D(E_F): 3.9 states/eV/cell
* excess energy over the best structure of this formula in the dataset: 140 meV per atom

a = 2.8524 Å, b = 2.8524 Å, c = 7.1497 Å
α = 90.00°, β = 90.00°, γ = 90.00°
Last column: nearest neighbours and their distance in Å.
Space group P4mm (No. 99)
Unique sites:
Tc: 0.0000 0.0000 0.0000  4 Ru 2.62, 4 Br 2.73, 4 Tc 2.85
Ru: 0.0000 0.0000 0.5161  8 Ru 2.70-2.85, 4 Br 2.74
Ru: 0.5000 0.5000 0.7664  4 Tc 2.62, 8 Ru 2.70-2.85
Br: 0.5000 0.5000 0.2569  4 Tc 2.73, 4 Ru 2.74, 4 Br 2.85

(20)
Here is a PBEsol-optimized structure of K2TcMo from Alexandria via LeMat-Bulk. Energies are from meta-GGA SCAN.

* E_tot: -20.232 eV per atom
* calculated formation energy: 1.42 eV/atom
* D(E_F): 7.2 states/eV/cell
* excess energy over the best structure of this formula in the dataset: 529 meV per atom

a = 5.3002 Å, b = 11.9895 Å, c = 2.6599 Å
α = 90.00°, β = 106.68°, γ = 90.00°
Last column: nearest neighbours and their distance in Å.
Space group C2/m (No. 12)
Unique sites:
K: 0.2500 0.2500 0.0000  4 K 2.65-2.66
Tc: 0.0000 0.0000 0.5000  2 Mo 2.65, 2 Tc 2.66
Mo: 0.0000 0.5000 0.5000  2 Tc 2.65, 2 Mo 2.66